Entry 1:
AlZn3Ag6, relaxed, DFT PBE; DFT formation energy = 0.069 eV per atom
1.0
5.233 0.000 0.000
0.000 8.365 -0.279
0.000 -2.139 8.091
Ag Zn Al
12 6 2
Direct
0.612 0.258 0.742 Ag
0.378 0.556 0.967 Ag
0.602 0.319 0.403 Ag
0.772 0.035 0.965 Ag
0.102 0.403 0.319 Ag
0.102 0.681 0.597 Ag
0.878 0.967 0.556 Ag
0.878 0.444 0.033 Ag
0.602 0.597 0.681 Ag
0.378 0.033 0.444 Ag
0.272 0.965 0.035 Ag
0.112 0.742 0.258 Ag
0.948 0.088 0.294 Zn
0.617 0.630 0.370 Zn
0.948 0.706 0.912 Zn
0.448 0.912 0.706 Zn
0.117 0.370 0.630 Zn
0.448 0.294 0.088 Zn
0.629 0.826 0.174 Al
0.129 0.174 0.826 Al


Entry 2:
ZrCoAg2, relaxed, DFT PBE; DFT formation energy = 0.200 eV per atom
1.0
-2.410 0.220 1.544
-2.300 -1.591 -3.365
0.740 -5.020 1.868
Ag Zr Co
2 1 1
Direct
0.000 0.000 0.010 Ag
0.000 0.000 0.490 Ag
0.500 0.500 0.750 Zr
0.500 0.500 0.250 Co


Entry 3:
Zr3In7, relaxed, DFT PBE; DFT formation energy = -0.245 eV per atom
1.0
4.219 0.000 -1.136
-0.273 6.266 -1.013
0.036 0.041 8.539
In Zr
7 3
Direct
0.405 0.203 0.810 In
0.595 0.797 0.190 In
0.208 0.108 0.416 In
0.792 0.892 0.584 In
0.000 0.500 0.000 In
0.607 0.292 0.215 In
0.393 0.708 0.785 In
0.189 0.593 0.377 Zr
0.000 0.000 0.000 Zr
0.811 0.407 0.623 Zr


> The highest DFT formation energy belongs to which entry?

ZrCoAg2


Please write out number 2 again, unchanged.
ZrCoAg2, relaxed, DFT PBE; DFT formation energy = 0.200 eV per atom
1.0
-2.410 0.220 1.544
-2.300 -1.591 -3.365
0.740 -5.020 1.868
Ag Zr Co
2 1 1
Direct
0.000 0.000 0.010 Ag
0.000 0.000 0.490 Ag
0.500 0.500 0.750 Zr
0.500 0.500 0.250 Co